Record 1
First-principles (PBEsol) data for GaSe2S after structural relaxation, as listed in Alexandria via LeMat-Bulk.

The calculation puts the total magnetic moment at 0.0 μB per cell. The energy relative to the lowest polymorph listed for this composition is 205 meV/atom. The volume is 22.0 Å³/atom. The space-group type is R-3m. The uncorrected energy comes out at -3.5103 eV/atom.

Lattice parameters (Å, degrees): 3.4211 3.4211 8.8940 78.91 78.91 60.00
Atoms (fractional coordinates):
Se 0.8958 0.8958 0.3127
Se 0.1042 0.1042 0.6873
Ga 0.0000 0.0000 0.0000
S 0.5000 0.5000 0.5000

---

Record 2
First-principles (PBEsol) data for Ga2SiS after structural relaxation, as listed in Alexandria via LeMat-Bulk.

The calculation puts the total magnetic moment at 0.0 μB per cell. The volume is 21.3 Å³/atom. The space-group type is I-42d. The uncorrected energy comes out at -4.4689 eV/atom.

Lattice parameters (Å, degrees): 5.5137 5.5137 6.8199 113.84 113.84 90.00
Atoms (fractional coordinates):
Ga 0.8659 0.3750 0.2500
Si 0.7500 0.2500 0.5000
S 0.0000 0.0000 0.0000
Ga 0.6250 0.6159 0.7500
Ga 0.1250 0.1341 0.7500
Si 0.5000 0.5000 0.0000
Ga 0.3841 0.8750 0.2500
S 0.2500 0.7500 0.5000

---

Q: Number 1 is which compound?
A: GaSe2S